1.
Ta2TlSi (PBE-GGA, optimized geometry); calculated volume = 75.0 Å³/f.u.; uncorrected formation energy = 0.25 eV per atom; DFT total energy = -7.622 eV per atom
1.0
-3.279 1.340 0.279
-0.591 -0.731 -3.427
-2.066 -5.366 1.501
Ta Tl Si
2 1 1
Direct
0.000 0.000 0.998
0.500 0.500 0.220
0.000 0.000 0.507
0.500 0.500 0.775

---

2.
TaTlSi2 (PBE-GGA, optimized geometry); excess energy over the best structure of this formula in the dataset = 338 meV per atom; calculated volume = 78.2 Å³/f.u.; uncorrected formation energy = 0.49 eV per atom; DFT total energy = -5.775 eV per atom
1.0
-0.860 3.293 -9.518
-3.760 3.459 -8.722
-1.895 5.741 -8.101
Si Tl Ta
2 1 1
Direct
0.980 0.980 0.980
0.250 0.250 0.250
0.756 0.756 0.756
0.513 0.513 0.513

---

3.
TaTlSi (PBE-GGA, optimized geometry); excess energy over the best structure of this formula in the dataset = 0 meV per atom; calculated volume = 61.1 Å³/f.u.; uncorrected formation energy = 0.27 eV per atom; DFT total energy = -6.278 eV per atom
1.0
5.673 0.001 0.000
3.569 4.410 0.000
-4.621 -2.205 2.443
Si Tl Ta
1 1 1
Direct
0.952 0.952 0.000
0.670 0.670 0.000
0.378 0.378 0.000

---

4.
TaTlSi (PBE-GGA, optimized geometry); excess energy over the best structure of this formula in the dataset = 305 meV per atom; calculated volume = 59.8 Å³/f.u.; uncorrected formation energy = 0.57 eV per atom; DFT total energy = -5.973 eV per atom
1.0
4.540 0.000 0.000
-2.270 3.932 0.000
0.000 0.000 3.351
Si Ta Tl
1 1 1
Direct
0.000 0.000 0.167
0.667 0.333 0.167
0.333 0.667 0.666

---

5.
TaTlSi (PBE-GGA, optimized geometry); excess energy over the best structure of this formula in the dataset = 160 meV per atom; calculated volume = 58.8 Å³/f.u.; uncorrected formation energy = 0.43 eV per atom; DFT total energy = -6.118 eV per atom
1.0
3.100 0.000 0.000
-1.550 2.685 0.000
0.000 0.000 7.062
Ta Tl Si
1 1 1
Direct
0.667 0.333 0.308
0.333 0.667 0.669
0.000 0.000 0.023

---

6.
TaTl3Si (PBE-GGA, optimized geometry); excess energy over the best structure of this formula in the dataset = 0 meV per atom; calculated volume = 163.1 Å³/f.u.; uncorrected formation energy = 1.15 eV per atom; DFT total energy = -3.720 eV per atom
1.0
5.464 0.000 0.000
0.000 5.464 0.000
0.000 0.000 5.464
Tl Ta Si
3 1 1
Direct
0.000 0.500 0.000
0.500 0.000 0.000
0.000 0.000 0.500
0.000 0.000 0.000
0.500 0.500 0.500